Here is a geometry-optimized Mn2SbP structure from Alexandria. Energies are from PBE.

The structure in extended XYZ format:
```
4
Lattice="-0.910 -2.712 -3.331 -2.718 -1.732 2.983 -2.463 2.091 -1.030" Properties=species:S:1:pos:R:3 pbc="T T T"
Mn 0.000 0.000 0.000
Mn -1.814 -2.222 -0.174
P -1.687 -0.310 -2.181
Sb -2.591 0.180 0.976
```

Computed properties:
Mass density, kg/m3: 6737
Total magnetic moment, Bohr magnetons per cell: 6.239
Formation energy without anion corrections, eV/atom: 0.2512

=====

Here is a geometry-optimized Mn2SbP structure from Alexandria. Energies are from PBE.

The structure in extended XYZ format:
```
4
Lattice="3.009 0.000 0.000 0.000 3.009 0.000 0.000 0.000 6.876" Properties=species:S:1:pos:R:3 pbc="T T T"
Sb 1.505 1.505 5.157
Mn 0.000 0.000 3.000
Mn 0.000 0.000 0.437
P 1.505 1.505 1.719
```

Computed properties:
Mass density, kg/m3: 7004
Total magnetic moment, Bohr magnetons per cell: 5.237
Formation energy without anion corrections, eV/atom: 0.0672

=====

Here is a geometry-optimized Mn2SbP structure from Alexandria. Energies are from PBE.

The structure in extended XYZ format:
```
4
Lattice="5.124 -0.004 0.000 2.227 4.615 0.000 -3.676 -2.305 2.726" Properties=species:S:1:pos:R:3 pbc="T T T"
P 3.676 2.305 0.000
Sb 2.562 -0.002 1.363
Mn 1.114 2.307 1.363
Mn 0.000 0.000 0.000
```

Computed properties:
Mass density, kg/m3: 6762
Total magnetic moment, Bohr magnetons per cell: 6.496
Formation energy without anion corrections, eV/atom: 0.2507